No. 1
## TaTlRu (PBE)

Data for a relaxed structure of TaTlRu.

Cell: 4.5445 4.5445 3.0755 Å, 90.00 90.00 120.00°
Element x y z (fractional)
Ta (0.0000, 0.0000, 0.0000)
Tl (0.3333, 0.6667, 0.4554)
Ru (0.6667, 0.3333, 0.8479)

Summary:
Offset from the most stable computed form   0.233 eV/atom



No. 2
## TaTlRu2 (PBE)

Data for a relaxed structure of TaTlRu2.

Cell: 4.6990 4.6990 5.2586 Å, 101.98 101.98 37.90°
Element x y z (fractional)
Ta (0.0000, 0.0000, 0.0000)
Tl (0.5000, 0.5000, 0.5000)
Ru (0.2624, 0.2624, 0.7837)
Ru (0.7376, 0.7376, 0.2163)



No. 3
## Ta2TlRu (PBE)

Data for a relaxed structure of Ta2TlRu.

Cell: 3.0102 4.1280 5.8028 Å, 90.00 93.50 90.00°
Element x y z (fractional)
Ta (0.0383, 0.0000, 0.2756)
Ta (0.9617, 0.0000, 0.7244)
Tl (0.5000, 0.5000, 0.0000)
Ru (0.5000, 0.5000, 0.5000)

Summary:
Offset from the most stable computed form   0.099 eV/atom



No. 4
## TaTlRu2 (PBE)

Data for a relaxed structure of TaTlRu2.

Cell: 4.5921 4.5921 4.5921 Å, 60.00 60.00 60.00°
Element x y z (fractional)
Ta (0.0000, 0.0000, 0.0000)
Tl (0.2500, 0.2500, 0.2500)
Ru (0.5000, 0.5000, 0.5000)
Ru (0.7500, 0.7500, 0.7500)



No. 5
## TaTlRu2 (PBE)

Data for a relaxed structure of TaTlRu2.

Cell: 3.0069 4.0734 5.6492 Å, 90.00 90.00 90.00°
Element x y z (fractional)
Ta (0.0000, 0.0000, 0.0000)
Tl (0.5000, 0.5000, 0.3267)
Ru (0.0000, 0.0000, 0.5661)
Ru (0.5000, 0.5000, 0.8266)



No. 6
## TaTlRu2 (PBE)

Data for a relaxed structure of TaTlRu2.

Cell: 2.9065 2.9065 8.1087 Å, 90.00 90.00 90.00°
Element x y z (fractional)
Ta (0.0000, 0.0000, 0.0000)
Tl (0.5000, 0.5000, 0.2938)
Ru (0.0000, 0.0000, 0.5560)
Ru (0.5000, 0.5000, 0.7608)



No. 7
## TaTlRu (PBE)

Data for a relaxed structure of TaTlRu.

Cell: 4.4989 4.4989 4.4989 Å, 60.00 60.00 60.00°
Element x y z (fractional)
Ta (0.0000, 0.0000, 0.0000)
Tl (0.7500, 0.7500, 0.7500)
Ru (0.2500, 0.2500, 0.2500)

Summary:
Offset from the most stable computed form   0.659 eV/atom



No. 8
## TaTlRu3 (PBE)

Data for a relaxed structure of TaTlRu3.

Cell: 4.7971 4.7971 4.7971 Å, 90.00 90.00 90.00°
Element x y z (fractional)
Ta (0.0000, 0.0000, 0.0000)
Tl (0.5000, 0.5000, 0.5000)
Ru (0.0000, 0.5000, 0.5000)
Ru (0.5000, 0.0000, 0.5000)
Ru (0.5000, 0.5000, 0.0000)

Summary:
Offset from the most stable computed form   1.008 eV/atom



No. 9
## Ta2TlRu (PBE)

Data for a relaxed structure of Ta2TlRu.

Cell: 4.6852 4.6852 4.6852 Å, 60.00 60.00 60.00°
Element x y z (fractional)
Ta (0.2500, 0.2500, 0.2500)
Ta (0.7500, 0.7500, 0.7500)
Tl (0.0000, 0.0000, 0.0000)
Ru (0.5000, 0.5000, 0.5000)

Summary:
Offset from the most stable computed form   0.421 eV/atom



No. 10
## TaTlRu (PBE)

Data for a relaxed structure of TaTlRu.

Cell: 4.4496 4.4496 4.4496 Å, 60.00 60.00 60.00°
Element x y z (fractional)
Ta (0.0000, 0.0000, 0.0000)
Tl (0.5000, 0.5000, 0.5000)
Ru (0.2500, 0.2500, 0.2500)

Summary:
Offset from the most stable computed form   0.307 eV/atom



No. 11
## TaTlRu3 (PBE)

Data for a relaxed structure of TaTlRu3.

Cell: 4.7660 4.7660 4.7660 Å, 90.00 90.00 90.00°
Element x y z (fractional)
Ta (0.0000, 0.0000, 0.0000)
Tl (0.5000, 0.5000, 0.5000)
Ru (0.0000, 0.0000, 0.5000)
Ru (0.0000, 0.5000, 0.0000)
Ru (0.5000, 0.0000, 0.0000)

Summary:
Offset from the most stable computed form   0.000 eV/atom



No. 12
## Ta4TlRu (PBE)

Data for a relaxed structure of Ta4TlRu.

Cell: 5.4313 5.4313 5.4313 Å, 60.00 60.00 60.00°
Element x y z (fractional)
Ta (0.1246, 0.1246, 0.1246)
Ta (0.1246, 0.1246, 0.6261)
Ta (0.1246, 0.6261, 0.1246)
Ta (0.6261, 0.1246, 0.1246)
Tl (0.7500, 0.7500, 0.7500)
Ru (0.5000, 0.5000, 0.5000)



No. 13
## TaTl2ZnRu (PBE)

Data for a relaxed structure of TaTl2ZnRu.

Cell: 5.3667 5.3667 4.9885 Å, 90.00 90.00 90.00°
Element x y z (fractional)
Ta (0.0000, 0.0000, 0.0000)
Tl (0.0000, 0.5000, 0.0000)
Tl (0.5000, 0.0000, 0.0000)
Zn (0.0000, 0.0000, 0.5000)
Ru (0.5000, 0.5000, 0.5000)



No. 14
## Tm2TaRu3 (PBE)

Data for a relaxed structure of Tm2TaRu3.

Cell: 4.6355 6.6431 7.3145 Å, 90.00 108.34 90.00°
Element x y z (fractional)
Tm (0.0000, 0.0000, 0.0000)
Tm (0.0000, 0.5000, 0.0000)
Tm (0.3340, 0.0000, 0.6680)
Tm (0.6660, 0.0000, 0.3320)
Ta (0.3327, 0.5000, 0.6652)
Ta (0.6673, 0.5000, 0.3348)
Ru (0.1723, 0.2709, 0.3447)
Ru (0.1723, 0.7291, 0.3447)
Ru (0.5000, 0.2654, 0.0000)
Ru (0.5000, 0.7346, 0.0000)
Ru (0.8277, 0.2709, 0.6553)
Ru (0.8277, 0.7291, 0.6553)



No. 15
## TmTa2Ru2 (PBE)

Data for a relaxed structure of TmTa2Ru2.

Cell: 9.3355 9.3355 3.1721 Å, 90.00 90.00 160.71°
Element x y z (fractional)
Tm (0.0000, 0.0000, 0.0000)
Ta (0.1848, 0.8152, 0.0000)
Ta (0.8152, 0.1848, 0.0000)
Ru (0.3973, 0.6027, 0.5000)
Ru (0.6027, 0.3973, 0.5000)



Number 1: VASP energy -7.42 eV/atom, ΔE_f 0.4123 eV/atom. Number 2: VASP energy -7.94 eV/atom, ΔE_f 0.2515 eV/atom. Number 3: VASP energy -8.63 eV/atom, ΔE_f 0.2107 eV/atom. Number 4: VASP energy -7.60 eV/atom, ΔE_f 0.5959 eV/atom. Number 5: VASP energy -7.92 eV/atom, ΔE_f 0.2763 eV/atom. Number 6: VASP energy -7.84 eV/atom, ΔE_f 0.3513 eV/atom. Number 7: VASP energy -6.99 eV/atom, ΔE_f 0.8376 eV/atom. Number 8: VASP energy -6.05 eV/atom, ΔE_f 2.3601 eV/atom. Number 9: VASP energy -8.30 eV/atom, ΔE_f 0.5334 eV/atom. Number 10: VASP energy -7.35 eV/atom, ΔE_f 0.4863 eV/atom. Number 11: VASP energy -7.06 eV/atom, ΔE_f 1.3522 eV/atom. Number 12: VASP energy -9.34 eV/atom, ΔE_f 0.4997 eV/atom. Number 13: VASP energy -3.77 eV/atom, ΔE_f 1.6578 eV/atom. Number 14: VASP energy -8.61 eV/atom, ΔE_f -0.5086 eV/atom. Number 15: VASP energy -9.46 eV/atom, ΔE_f -0.1139 eV/atom.